VASP calculation (PBE-GGA) on crystalline Ba6CdRh2 at its relaxed geometry.

Unit cell a=7.797 b=7.977 c=7.977 alpha=120.00 beta=90.00 gamma=90.00
Fractional positions:
Ba 0.723 0.641 0.641
Ba 0.277 0.641 0.000
Ba 0.277 0.000 0.641
Ba 0.723 0.359 0.000
Ba 0.277 0.359 0.359
Ba 0.723 0.000 0.359
Cd 0.000 0.000 0.000
Rh 0.500 0.667 0.333
Rh 0.500 0.333 0.667

E_form	-0.185	eV per atom
energy	-3.20	eV/atom
symmetry	P-31m
excess energy over the best structure of this formula in the dataset	0	meV/atom
calculated volume	429.6	Å³/f.u.

VASP calculation (PBE-GGA) on crystalline CuHPd3 at its relaxed geometry.

Unit cell a=4.852 b=5.580 c=5.575 alpha=60.03 beta=90.00 gamma=107.40
Fractional positions:
H 0.938 0.251 0.237
H 0.438 0.251 0.482
Pd 0.179 0.503 0.360
Pd 0.162 0.486 0.862
Pd 0.679 0.503 0.108
Pd 0.662 0.486 0.622
Pd 0.663 0.988 0.623
Pd 0.163 0.988 0.359
Cu 0.167 0.990 0.869
Cu 0.667 0.990 0.112

energy	-4.67	eV/atom
symmetry	Cc
excess energy over the best structure of this formula in the dataset	14	meV/atom
calculated volume	61.4	Å³/f.u.

VASP calculation (PBE-GGA) on crystalline CaNd2B9 at its relaxed geometry.

Unit cell a=4.493 b=4.493 c=10.119 alpha=77.17 beta=77.17 gamma=60.00
Fractional positions:
Ca 0.000 0.000 0.000
Nd 0.884 0.884 0.348
Nd 0.116 0.116 0.652
B 0.597 0.597 0.208
B 0.403 0.403 0.792
B 0.500 0.500 0.500
B 0.391 0.391 0.189
B 0.029 0.391 0.189
B 0.391 0.029 0.189
B 0.609 0.609 0.811
B 0.609 0.971 0.811
B 0.971 0.609 0.811

E_form	-0.015	eV per atom
energy	-5.98	eV/atom
symmetry	R-3m
calculated volume	171.0	Å³/f.u.

VASP calculation (PBE-GGA) on crystalline Cs2PdI7 at its relaxed geometry.

Unit cell a=8.418 b=8.418 c=8.734 alpha=61.19 beta=61.19 gamma=90.00
Fractional positions:
Cs 0.750 0.250 0.500
Cs 0.250 0.750 0.500
I 0.000 0.000 0.000
I 0.289 0.289 0.422
I 0.711 0.711 0.578
I 0.266 0.266 0.000
I 0.734 0.734 0.000
I 0.734 0.266 0.000
I 0.266 0.734 0.000
Pd 0.500 0.500 0.000

energy	-2.47	eV/atom
symmetry	I4/mmm
uncorrected formation energy	-0.70	eV per atom
calculated volume	452.9	Å³/f.u.

VASP calculation (PBE-GGA) on crystalline Zn4CuBr at its relaxed geometry.

Unit cell a=5.322 b=5.322 c=5.322 alpha=60.00 beta=60.00 gamma=60.00
Fractional positions:
Zn 0.879 0.374 0.374
Zn 0.374 0.374 0.879
Zn 0.374 0.879 0.374
Zn 0.374 0.374 0.374
Cu 0.000 0.000 0.000
Br 0.750 0.750 0.750

energy	-1.50	eV/atom
symmetry	F-43m
uncorrected formation energy	0.31	eV per atom
calculated volume	106.6	Å³/f.u.

VASP calculation (PBE-GGA) on crystalline CaHoAgSn at its relaxed geometry.

Unit cell a=5.263 b=5.263 c=5.263 alpha=60.00 beta=60.00 gamma=60.00
Fractional positions:
Ca 0.000 0.000 0.000
Ho 0.500 0.500 0.500
Ag 0.750 0.750 0.750
Sn 0.250 0.250 0.250

E_form	-0.530	eV per atom
energy	-3.89	eV/atom
symmetry	F-43m
calculated volume	103.1	Å³/f.u.

VASP calculation (PBE-GGA) on crystalline Rb2Mg3Tl12Cd at its relaxed geometry.

Unit cell a=12.512 b=12.512 c=12.512 alpha=36.54 beta=36.54 gamma=36.54
Fractional positions:
Rb 0.646 0.646 0.646
Rb 0.354 0.354 0.354
Mg 0.500 0.000 0.000
Mg 0.000 0.500 0.000
Mg 0.000 0.000 0.500
Tl 0.411 0.411 0.817
Tl 0.920 0.920 0.366
Tl 0.366 0.920 0.920
Tl 0.817 0.411 0.411
Tl 0.920 0.366 0.920
Tl 0.411 0.817 0.411
Tl 0.589 0.589 0.183
Tl 0.080 0.080 0.634
Tl 0.634 0.080 0.080
Tl 0.183 0.589 0.589
Tl 0.080 0.634 0.080
Tl 0.589 0.183 0.589
Cd 0.000 0.000 0.000

E_form	0.064	eV per atom
energy	-1.94	eV/atom
symmetry	R-3m
calculated volume	621.6	Å³/f.u.

VASP calculation (PBE-GGA) on crystalline Sm6YHo12 at its relaxed geometry.

Unit cell a=8.631 b=8.631 c=8.631 alpha=79.77 beta=79.77 gamma=79.77
Fractional positions:
Sm 0.768 0.768 0.164
Sm 0.836 0.232 0.232
Sm 0.232 0.836 0.232
Sm 0.232 0.232 0.836
Sm 0.164 0.768 0.768
Sm 0.768 0.164 0.768
Y 0.000 0.000 0.000
Ho 0.804 0.486 0.486
Ho 0.486 0.804 0.486
Ho 0.486 0.486 0.804
Ho 0.196 0.514 0.514
Ho 0.514 0.196 0.514
Ho 0.514 0.514 0.196
Ho 0.136 0.136 0.486
Ho 0.864 0.514 0.864
Ho 0.514 0.864 0.864
Ho 0.864 0.864 0.514
Ho 0.136 0.486 0.136
Ho 0.486 0.136 0.136

E_form	0.126	eV per atom
energy	-4.60	eV/atom
symmetry	R-3m
excess energy over the best structure of this formula in the dataset	0	meV/atom
calculated volume	615.6	Å³/f.u.

- What is the calculated volume in the seventh record?
  621.6 Å³/f.u.

- What is the calculated volume in the sixth record?
  103.1 Å³/f.u.

- What is the energy in the first record?
  -3.20 eV/atom